1.
# SmErFe4

A relaxed structure of SmErFe4 (PBE, the Alexandria database).

The calculation puts the calculated density at 9.24 g/cm³. As for the crystal system: cubic. For the formation energy from the elements, the calculation gives -46 meV per atom. As for the density of states at the Fermi level: 30.168 states/eV per cell. Its total magnetization is 29.3 Bohr magnetons per cell.

The space group is F-43m (No. 216) and the conventional cell measures 7.298, 7.298 and 7.298 Å, with angles of 90.00, 90.00 and 90.00 degrees. The distinct sites, in fractional coordinates, are Sm at (0.000, 0.000, 0.000), Er at (0.250, 0.250, 0.250) and Fe at (0.125, 0.125, 0.625).

2.
# LaMg11Hg

A relaxed structure of LaMg11Hg (PBE, the Alexandria database).

The calculation puts the calculated density at 3.25 g/cm³. As for the crystal system: monoclinic. For the formation energy from the elements, the calculation gives -113 meV per atom. As for the density of states at the Fermi level: 11.772 states/eV per cell. Its total magnetization is 0.0 Bohr magnetons per cell.

The space group is C2/m (No. 12) and the conventional cell measures 5.953, 14.453 and 7.768 Å, with angles of 90.00, 111.78 and 90.00 degrees. The distinct sites, in fractional coordinates, are La at (0.000, 0.000, 0.000), Mg at (0.000, 0.000, 0.500), Mg at (0.106, 0.394, 0.217), Mg at (0.176, 0.175, 0.354), Mg at (0.250, 0.250, 0.000) and Hg at (0.000, 0.500, 0.500).

3.
# NpRhO4

A relaxed structure of NpRhO4 (PBE, the Alexandria database).

The calculation puts the calculated density at 8.57 g/cm³. As for the crystal system: tetragonal. As for the density of states at the Fermi level: 19.747 states/eV per cell. The calculation puts the calculated total energy at -8.666 eV per atom. Its total magnetization is 8.0 Bohr magnetons per cell.

The space group is I4_1md (No. 109) and the conventional cell measures 7.057, 7.057 and 6.284 Å, with angles of 90.00, 90.00 and 90.00 degrees. The distinct sites, in fractional coordinates, are Np at (0.000, 0.000, 0.000), Rh at (0.000, 0.000, 0.507), O at (0.000, 0.191, 0.261) and O at (0.000, 0.202, 0.757).

4.
# Ce2Sc2Cl7

A relaxed structure of Ce2Sc2Cl7 (PBE, the Alexandria database).

The calculation puts the calculated density at 3.06 g/cm³. As for the crystal system: monoclinic. As for the density of states at the Fermi level: 29.034 states/eV per cell. The calculation puts the calculated total energy at -5.072 eV per atom. Its total magnetization is 9.1 Bohr magnetons per cell.

The space group is C2/m (No. 12) and the conventional cell measures 8.009, 11.643 and 7.186 Å, with angles of 90.00, 90.21 and 90.00 degrees. The distinct sites, in fractional coordinates, are Ce at (0.000, 0.149, 0.000), Sc at (0.216, 0.000, 0.651), Cl at (0.000, 0.500, 0.500), Cl at (0.107, 0.000, 0.302) and Cl at (0.213, 0.302, 0.230).

5.
# EuHoTl2

A relaxed structure of EuHoTl2 (PBE, the Alexandria database).

The calculation puts the calculated density at 10.34 g/cm³. As for the crystal system: cubic. Its energy above the most stable polymorph in this dataset is 33 meV/atom. For the formation energy from the elements, the calculation gives -354 meV per atom. As for the density of states at the Fermi level: 34.481 states/eV per cell. Its total magnetization is 29.2 Bohr magnetons per cell.

The space group is Fm-3m (No. 225) and the conventional cell measures 7.753, 7.753 and 7.753 Å, with angles of 90.00, 90.00 and 90.00 degrees. The distinct sites, in fractional coordinates, are Eu at (0.000, 0.000, 0.000), Ho at (0.000, 0.000, 0.500) and Tl at (0.250, 0.250, 0.250).

6.
# SmTm3Zn

A relaxed structure of SmTm3Zn (PBE, the Alexandria database).

The calculation puts the calculated density at 7.98 g/cm³. As for the crystal system: monoclinic. For the formation energy from the elements, the calculation gives 60 meV per atom. As for the density of states at the Fermi level: 26.765 states/eV per cell. Its total magnetization is 0.0 Bohr magnetons per cell.

The space group is C2/m (No. 12) and the conventional cell measures 11.448, 8.395 and 7.666 Å, with angles of 90.00, 125.30 and 90.00 degrees. The distinct sites, in fractional coordinates, are Sm at (0.083, 0.000, 0.275), Tm at (0.049, 0.500, 0.313), Tm at (0.190, 0.201, 0.718) and Zn at (0.237, 0.000, 0.069).

7.
# MgAuBr

A relaxed structure of MgAuBr (PBE, the Alexandria database).

The calculation puts the calculated density at 6.33 g/cm³. As for the crystal system: trigonal. Its energy above the most stable polymorph in this dataset is 7 meV/atom. As for the density of states at the Fermi level: 1.094 states/eV per cell. Its total magnetization is 0.0 Bohr magnetons per cell.

The space group is P-3m1 (No. 164) and the conventional cell measures 3.7285, 3.7285 and 26.2404 Å, with angles of 90.00, 90.00 and 120.00 degrees. The distinct sites, in fractional coordinates, are Mg at (0.3333, 0.6667, 0.0979), Mg at (0.3333, 0.6667, 0.6368), Au at (0.3333, 0.6667, 0.8395), Au at (0.3333, 0.6667, 0.9654), Br at (0.3333, 0.6667, 0.2992) and Br at (0.3333, 0.6667, 0.4271).

8.
# AcPu3Al8

A relaxed structure of AcPu3Al8 (PBE, the Alexandria database).

The calculation puts the calculated density at 7.76 g/cm³. As for the crystal system: trigonal. Its energy above the most stable polymorph in this dataset is 0 meV/atom. For the formation energy from the elements, the calculation gives -329 meV per atom. As for the density of states at the Fermi level: 67.829 states/eV per cell. Its total magnetization is 51.2 Bohr magnetons per cell.

The space group is R3m (No. 160, hexagonal axes) and the conventional cell measures 5.6232, 5.6232 and 27.5429 Å, with angles of 90.00, 90.00 and 120.00 degrees. The distinct sites, in fractional coordinates, are Ac at (0.0000, 0.0000, 0.0000), Pu at (0.0000, 0.0000, 0.3801), Pu at (0.0000, 0.0000, 0.4993), Pu at (0.0000, 0.0000, 0.8727), Al at (0.0000, 0.0000, 0.1874), Al at (0.0000, 0.0000, 0.6885), Al at (0.0035, 0.5017, 0.4395) and Al at (0.1671, 0.3342, 0.2686).